[1]
A plane-wave DFT calculation with GGA-PBE was carried out for a relaxed structure of ZrInCuMo.

Summary:
Mass density ... 8.18 Mg/m³
Energy relative to the lowest polymorph listed for this composition ... 0.000 eV per atom
Crystal system ... cubic
Total magnetization ... 0.00 μB per cell

Unit cell a=4.7165 b=4.7165 c=4.7165 alpha=60.00 beta=60.00 gamma=60.00
Sites, in units of the cell vectors:
Zr (0.0000, 0.0000, 0.0000)
In (0.5000, 0.5000, 0.5000)
Cu (0.7500, 0.7500, 0.7500)
Mo (0.2500, 0.2500, 0.2500)



[2]
A plane-wave DFT calculation with GGA-PBE was carried out for a relaxed structure of InCuN2.

Summary:
Mass density ... 6.12 Mg/m³
Final energy ... -4.956 eV per atom
Crystal system ... orthorhombic

Unit cell a=3.3220 b=3.3220 c=11.7324 alpha=90.00 beta=90.00 gamma=120.04
Sites, in units of the cell vectors:
In (0.0000, 0.0000, 0.0000)
In (0.0000, 0.0000, 0.5000)
Cu (0.3314, 0.6686, 0.7500)
Cu (0.6686, 0.3314, 0.2500)
N (0.3327, 0.6673, 0.5994)
N (0.3327, 0.6673, 0.9006)
N (0.6673, 0.3327, 0.0994)
N (0.6673, 0.3327, 0.4006)



[3]
A plane-wave DFT calculation with GGA-PBE was carried out for a relaxed structure of Nb4InCuN2.

Summary:
Mass density ... 8.05 Mg/m³
Final energy ... -8.405 eV per atom
Crystal system ... hexagonal
Total magnetization ... 0.00 μB per cell

Unit cell a=3.1842 b=3.1842 c=13.5760 alpha=90.00 beta=90.00 gamma=120.00
Sites, in units of the cell vectors:
Nb (0.0000, 0.0000, 0.1519)
Nb (0.0000, 0.0000, 0.8481)
Nb (0.6667, 0.3333, 0.3223)
Nb (0.6667, 0.3333, 0.6777)
In (0.0000, 0.0000, 0.5000)
Cu (0.6667, 0.3333, 0.0000)
N (0.3333, 0.6667, 0.2355)
N (0.3333, 0.6667, 0.7645)



[4]
A plane-wave DFT calculation with GGA-PBE was carried out for a relaxed structure of Ta4InCuN2.

Summary:
Mass density ... 13.24 Mg/m³
Final energy ... -9.226 eV per atom
Crystal system ... hexagonal
Total magnetization ... 0.00 μB per cell

Unit cell a=3.1424 b=3.1424 c=13.6380 alpha=90.00 beta=90.00 gamma=120.00
Sites, in units of the cell vectors:
Ta (0.0000, 0.0000, 0.1506)
Ta (0.0000, 0.0000, 0.8494)
Ta (0.3333, 0.6667, 0.3231)
Ta (0.3333, 0.6667, 0.6769)
In (0.0000, 0.0000, 0.5000)
Cu (0.3333, 0.6667, 0.0000)
N (0.6667, 0.3333, 0.2354)
N (0.6667, 0.3333, 0.7646)